This record from Alexandria describes crystalline Sr5Ca3TiMn7O24 at its relaxed geometry. The functional is GGA+U.

POSCAR file:
```
Sr5Ca3TiMn7O24
1.0
5.4952 -5.4424 0.0000
5.4952 5.4424 0.0000
-0.0034 0.0000 7.6897
Sr Ca Ti Mn O
5 3 1 7 24
Direct
0.0000 0.0000 0.0000
0.0014 0.0014 0.4979
0.0067 0.5034 0.0008
0.5034 0.0067 0.0008
0.5033 0.5033 0.0000
0.0013 0.4990 0.4996
0.4990 0.0013 0.4996
0.5072 0.5072 0.4995
0.7525 0.7525 0.7457
0.2534 0.7515 0.7464
0.2538 0.7516 0.2531
0.2548 0.2548 0.2535
0.2546 0.2546 0.7467
0.7515 0.2534 0.7464
0.7516 0.2538 0.2531
0.7521 0.7521 0.2525
0.0031 0.2603 0.7091
0.0033 0.7541 0.2261
0.0038 0.2611 0.2898
0.0056 0.7532 0.7679
0.2233 0.7088 0.5000
0.2242 0.2242 0.0000
0.2543 0.5034 0.7831
0.2557 0.5038 0.2176
0.2603 0.0031 0.7091
0.2611 0.0038 0.2898
0.2765 0.7833 0.0007
0.2919 0.2919 0.5001
0.4999 0.7514 0.7200
0.5034 0.2543 0.7831
0.5029 0.7519 0.2914
0.5038 0.2557 0.2176
0.7088 0.2233 0.5000
0.7321 0.7321 0.0038
0.7514 0.4999 0.7200
0.7519 0.5029 0.2914
0.7532 0.0056 0.7679
0.7541 0.0033 0.2261
0.7739 0.7739 0.4977
0.7833 0.2765 0.0007
```

## Properties
Its density of states at the Fermi level is 11.9 states/eV/cell. Its space group is No. 8. Its crystal system is monoclinic. As for the total energy: -7.01 eV per atom.